A plane-wave DFT calculation with PBE-GGA was carried out for Cu5Pb after structural relaxation.

Structure (extended XYZ):
```
6
Lattice="-0.635 -1.229 -2.818 -2.394 -1.607 1.241 -5.561 6.921 -1.764" Properties=species:S:1:pos:R:3 pbc="T T T"
Cu -2.781 3.461 -0.882
Cu -1.237 1.539 -0.392
Cu -5.087 3.027 -1.922
Cu -4.324 5.382 -1.372
Cu -3.504 1.057 -1.420
Pb -1.515 -1.418 -0.789
```



A plane-wave DFT calculation with PBE-GGA was carried out for Cu5Pb after structural relaxation.

Structure (extended XYZ):
```
6
Lattice="1.938 -5.799 0.000 1.938 5.799 0.000 0.000 0.000 3.851" Properties=species:S:1:pos:R:3 pbc="T T T"
Cu 1.938 2.082 1.925
Cu 0.000 0.000 1.925
Cu 1.938 -3.751 0.000
Cu 1.938 -2.082 1.925
Cu 1.938 3.751 0.000
Pb 1.938 0.000 0.000
```



A plane-wave DFT calculation with PBE-GGA was carried out for CuPb after structural relaxation.

Structure (extended XYZ):
```
8
Lattice="5.564 0.000 0.000 0.000 5.564 0.000 0.000 0.000 5.564" Properties=species:S:1:pos:R:3 pbc="T T T"
Pb 2.292 5.074 3.272
Pb 3.272 2.292 5.074
Pb 0.490 0.490 0.490
Pb 5.074 3.272 2.292
Cu 5.062 0.502 3.284
Cu 3.284 5.062 0.502
Cu 0.502 3.284 5.062
Cu 2.280 2.280 2.280
```



A plane-wave DFT calculation with PBE-GGA was carried out for Cu3Pb after structural relaxation.

Structure (extended XYZ):
```
4
Lattice="-2.482 0.870 -1.878 1.828 -0.448 -2.627 -1.863 -5.931 -0.284" Properties=species:S:1:pos:R:3 pbc="T T T"
Cu -1.724 -4.237 -2.466
Cu -1.033 -3.289 -0.158
Cu -1.761 -5.607 -0.269
Pb -0.793 -1.272 -2.324
```



A plane-wave DFT calculation with PBE-GGA was carried out for Cu3Pb5 after structural relaxation.

Results
- ΔE to the lowest computed polymorph: 105.4 meV/atom

Structure (extended XYZ):
```
8
Lattice="-6.535 3.745 0.656 2.235 0.125 7.221 1.718 3.100 -0.585" Properties=species:S:1:pos:R:3 pbc="T T T"
Pb -2.223 4.324 5.355
Pb 0.000 0.000 0.000
Pb 1.117 0.062 3.611
Pb -3.267 1.873 0.328
Pb -0.358 2.646 1.937
Cu -2.792 4.105 2.522
Cu -2.150 1.935 3.939
Cu 0.211 2.865 4.770
```



A plane-wave DFT calculation with PBE-GGA was carried out for CuPb after structural relaxation.

Structure (extended XYZ):
```
4
Lattice="3.572 0.000 0.000 0.000 4.177 0.000 0.000 0.000 6.039" Properties=species:S:1:pos:R:3 pbc="T T T"
Cu 0.000 0.000 0.311
Cu 0.000 2.089 1.702
Pb 1.786 2.089 5.414
Pb 1.786 0.000 2.638
```



A plane-wave DFT calculation with PBE-GGA was carried out for CuPb3 after structural relaxation.

Structure (extended XYZ):
```
4
Lattice="-3.166 3.830 -1.805 -4.080 -2.157 2.579 1.131 2.938 4.248" Properties=species:S:1:pos:R:3 pbc="T T T"
Pb 0.566 1.469 2.124
Pb -2.040 -1.079 1.290
Pb -1.583 1.915 -0.903
Cu 0.000 0.000 0.000
```



A plane-wave DFT calculation with PBE-GGA was carried out for CuPb3 after structural relaxation.

Structure (extended XYZ):
```
16
Lattice="6.404 0.000 0.000 0.000 7.335 0.000 0.000 0.000 9.067" Properties=species:S:1:pos:R:3 pbc="T T T"
Pb 2.225 5.989 0.531
Pb 0.827 0.149 6.801
Pb 5.427 5.014 5.065
Pb 2.375 3.816 6.801
Pb 5.427 5.014 8.536
Pb 4.179 1.346 8.536
Pb 0.977 2.321 4.002
Pb 5.577 7.186 2.267
Pb 4.179 1.346 5.065
Pb 4.029 3.519 2.267
Pb 0.977 2.321 0.531
Pb 2.225 5.989 4.002
Cu 6.092 2.787 6.801
Cu 2.890 0.880 2.267
Cu 3.514 6.455 6.801
Cu 0.312 4.548 2.267
```



Number 1: DFT formation energy 0.172 eV/atom, total energy -23.16 eV/cell, mass density 9.77 g/cm3. Number 2: DFT formation energy 0.181 eV/atom, total energy -23.10 eV/cell, mass density 10.07 g/cm3. Number 3: DFT formation energy 0.326 eV/atom, total energy -28.61 eV/cell, mass density 10.44 g/cm3. Number 4: DFT formation energy 0.215 eV/atom, total energy -15.14 eV/cell, mass density 10.16 g/cm3. Number 5: DFT formation energy 0.273 eV/atom, total energy -28.65 eV/cell, mass density 10.06 g/cm3. Number 6: DFT formation energy 0.221 eV/atom, total energy -14.72 eV/cell, mass density 9.98 g/cm3. Number 7: DFT formation energy 0.451 eV/atom, total energy -13.42 eV/cell, mass density 7.70 g/cm3. Number 8: DFT formation energy 0.118 eV/atom, total energy -58.99 eV/cell, mass density 10.68 g/cm3.